Here is an optimized crystal structure of TlAg2Au from Alexandria. Energies are from PBE.

Properties
The energy relative to the elements comes out at 0.069 eV per atom. For the total energy, the calculation gives -2.767 eV/atom. As for the symmetry: Pm, No. 6. Its total moment is 0.0000 μB per atom. Its energy above the most stable polymorph in this dataset is 12 meV/atom.

Cell: 3.0772 4.8398 5.3700 Å, 90.00 90.85 90.00°
Fractional positions:
1 Tl 0.0000 0.0000 0.0000
2 Ag 0.4983 0.0000 0.5046
3 Ag 0.5023 0.5000 0.1923
4 Au 0.0041 0.5000 0.6648

Here is an optimized crystal structure of RePtO3 from Alexandria. Energies are from PBE.

Properties
For the total energy, the calculation gives -5.805 eV/atom. The calculation puts the raw formation energy at 0.867 eV/atom. As for the symmetry: Pm-3m, No. 221. Its total moment is 0.8827 μB per atom.

Cell: 3.9765 3.9765 3.9765 Å, 90.00 90.00 90.00°
Fractional positions:
1 Re 0.0000 0.0000 0.0000
2 Pt 0.5000 0.5000 0.5000
3 O 0.0000 0.5000 0.5000
4 O 0.5000 0.0000 0.5000
5 O 0.5000 0.5000 0.0000

Here is an optimized crystal structure of Pr3Sm5Cd from Alexandria. Energies are from PBE.

Properties
The energy relative to the elements comes out at 0.383 eV per atom. For the total energy, the calculation gives -3.933 eV/atom. As for the symmetry: C2/m, No. 12. Its total moment is 0.0000 μB per atom.

Cell: 7.6884 7.6884 11.4843 Å, 90.35 90.35 98.93°
Fractional positions:
1 Pr 0.0000 0.0000 0.0000
2 Pr 0.0000 0.0000 0.5000
3 Pr 0.1515 0.1515 0.2585
4 Pr 0.3347 0.3347 0.0074
5 Pr 0.6653 0.6653 0.9926
6 Pr 0.8485 0.8485 0.7415
7 Sm 0.0134 0.5254 0.1899
8 Sm 0.2536 0.7464 0.5000
9 Sm 0.3230 0.3230 0.4978
10 Sm 0.4746 0.9866 0.8101
11 Sm 0.4969 0.4969 0.7407
12 Sm 0.5031 0.5031 0.2593
13 Sm 0.5254 0.0134 0.1899
14 Sm 0.6770 0.6770 0.5022
15 Sm 0.7464 0.2536 0.5000
16 Sm 0.9866 0.4746 0.8101
17 Cd 0.1653 0.1653 0.7418
18 Cd 0.8347 0.8347 0.2582